A plane-wave DFT calculation with GGA-PBE was carried out for crystalline LiPrDyAu at its relaxed geometry.

Magnetization (μB/cell): 0.000
ρ (g/cm3): 8.44
Calculated formation energy (eV/atom): -0.37

Unit cell a=3.745 b=5.127 c=5.196 alpha=90.00 beta=90.00 gamma=90.00
Element x y z (fractional)
Li1 0.000 0.000 0.000
Pr1 0.500 0.500 0.000
Dy1 0.500 0.000 0.500
Au1 0.000 0.500 0.500